# 1
Here is a geometry-optimized Sr3LaS4 structure from the Alexandria database. Energies are from PBE.

The structure in POSCAR format:
```
Sr3LaS4
1.0
8.500 0.000 0.000
0.000 12.000 0.000
0.000 0.000 4.234
Sr La S
6 2 8
Direct
0.000 0.000 0.000
0.250 0.250 0.500
0.250 0.750 0.500
0.500 0.500 0.000
0.750 0.250 0.500
0.750 0.750 0.500
0.000 0.500 0.000
0.500 0.000 0.000
0.000 0.254 0.000
0.000 0.746 0.000
0.244 0.500 0.500
0.256 0.000 0.500
0.500 0.246 0.000
0.500 0.754 0.000
0.744 0.000 0.500
0.756 0.500 0.500
```

Calculated values
energy above the lowest structure with this stoichiometry	0	meV per atom
formation energy without anion corrections	-2.12	eV/atom
space group	No. 65


# 2
Here is a geometry-optimized Pa2ZnOs structure from the Alexandria database. Energies are from PBE.

The structure in POSCAR format:
```
Pa2ZnOs
1.0
6.939 0.000 0.000
0.000 6.939 0.000
0.000 0.000 6.939
Pa Zn Os
8 4 4
Direct
0.250 0.250 0.250
0.250 0.250 0.750
0.250 0.750 0.250
0.250 0.750 0.750
0.750 0.250 0.250
0.750 0.250 0.750
0.750 0.750 0.250
0.750 0.750 0.750
0.000 0.000 0.000
0.000 0.500 0.500
0.500 0.000 0.500
0.500 0.500 0.000
0.000 0.000 0.500
0.000 0.500 0.000
0.500 0.000 0.000
0.500 0.500 0.500
```

Calculated values
energy above the lowest structure with this stoichiometry	79	meV per atom
energy of formation from the pure elements	-57.1	meV/atom
space group	No. 225


# 3
Here is a geometry-optimized Rb3CF6 structure from the Alexandria database. Energies are from PBE.

The structure in POSCAR format:
```
Rb3CF6
1.0
0.000 4.426 4.426
4.426 0.000 4.426
4.426 4.426 0.000
Rb C F
3 1 6
Direct
0.000 0.000 0.000
0.250 0.250 0.250
0.750 0.750 0.750
0.500 0.500 0.500
0.299 0.299 0.701
0.299 0.701 0.299
0.299 0.701 0.701
0.701 0.299 0.299
0.701 0.299 0.701
0.701 0.701 0.299
```

Calculated values
formation energy without anion corrections	-1.72	eV/atom
space group	No. 225


# 4
Here is a geometry-optimized SrSb3 structure from the Alexandria database. Energies are from PBE.

The structure in POSCAR format:
```
SrSb3
1.0
5.043 0.000 0.000
0.000 4.398 0.000
-2.288 0.000 6.075
Sr Sb
1 3
Direct
0.000 0.000 0.000
0.333 0.500 0.768
0.500 0.000 0.500
0.667 0.500 0.232
```

Calculated values
formation energy without anion corrections	-0.38	eV/atom
space group	No. 10


# 5
Here is a geometry-optimized KTa2Re2 structure from the Alexandria database. Energies are from PBE.

The structure in POSCAR format:
```
KTa2Re2
1.0
4.235 0.000 0.000
0.000 4.235 0.000
0.000 0.000 12.976
K Ta Re
2 4 4
Direct
0.000 0.000 0.000
0.500 0.500 0.500
0.000 0.000 0.364
0.000 0.000 0.636
0.500 0.500 0.136
0.500 0.500 0.864
0.000 0.500 0.250
0.000 0.500 0.750
0.500 0.000 0.250
0.500 0.000 0.750
```

Calculated values
energy above the lowest structure with this stoichiometry	290	meV per atom
energy of formation from the pure elements	808.5	meV/atom
space group	No. 139


# 6
Here is a geometry-optimized PrScTl structure from the Alexandria database. Energies are from PBE.

The structure in POSCAR format:
```
PrScTl
1.0
4.633 0.000 0.000
0.000 4.633 0.000
0.000 0.000 8.158
Pr Sc Tl
2 2 2
Direct
0.250 0.250 0.151
0.750 0.750 0.849
0.250 0.750 0.500
0.750 0.250 0.500
0.250 0.250 0.746
0.750 0.750 0.254
```

Calculated values
energy above the lowest structure with this stoichiometry	16	meV per atom
energy of formation from the pure elements	-273.6	meV/atom
space group	No. 129


# 7
Here is a geometry-optimized Na2MgAs2 structure from the Alexandria database. Energies are from PBE.

The structure in POSCAR format:
```
Na2MgAs2
1.0
8.521 0.000 0.000
0.000 8.521 0.000
0.000 0.000 14.211
Na Mg As
2 1 2
Direct
0.000 0.000 0.132
0.000 0.000 0.868
0.000 0.000 0.500
0.000 0.000 0.326
0.000 0.000 0.674
```

Calculated values
energy above the lowest structure with this stoichiometry	1278	meV per atom
energy of formation from the pure elements	856.7	meV/atom
space group	No. 123


# 8
Here is a geometry-optimized Mg3InO4 structure from the Alexandria database. Energies are from PBE.

The structure in POSCAR format:
```
Mg3InO4
1.0
6.817 0.000 0.000
0.000 5.926 0.000
0.000 0.000 5.401
Mg In O
6 2 8
Direct
0.000 0.175 0.000
0.249 0.664 0.000
0.251 0.336 0.500
0.500 0.825 0.500
0.749 0.336 0.500
0.751 0.664 0.000
0.000 0.837 0.505
0.500 0.163 0.005
0.000 0.198 0.627
0.000 0.840 0.080
0.233 0.346 0.127
0.267 0.654 0.627
0.500 0.160 0.580
0.500 0.802 0.127
0.733 0.654 0.627
0.767 0.346 0.127
```

Calculated values
formation energy without anion corrections	-2.17	eV/atom
space group	No. 31


# 9
Here is a geometry-optimized Sr2TlRh structure from the Alexandria database. Energies are from PBE.

The structure in POSCAR format:
```
Sr2TlRh
1.0
7.496 0.000 0.000
0.000 7.496 0.000
0.000 0.000 7.496
Sr Tl Rh
8 4 4
Direct
0.000 0.000 0.000
0.000 0.500 0.500
0.250 0.250 0.250
0.250 0.750 0.750
0.500 0.000 0.500
0.500 0.500 0.000
0.750 0.250 0.750
0.750 0.750 0.250
0.000 0.000 0.500
0.000 0.500 0.000
0.500 0.000 0.000
0.500 0.500 0.500
0.250 0.250 0.750
0.250 0.750 0.250
0.750 0.250 0.250
0.750 0.750 0.750
```

Calculated values
energy above the lowest structure with this stoichiometry	281	meV per atom
energy of formation from the pure elements	-11.0	meV/atom
space group	No. 216


# 10
Here is a geometry-optimized Rb4Ac3AlO8 structure from the Alexandria database. Energies are from PBE.

The structure in POSCAR format:
```
Rb4Ac3AlO8
1.0
6.749 -3.623 0.000
6.749 3.623 0.000
-3.771 0.000 6.749
Rb Ac Al O
4 3 1 8
Direct
0.000 0.000 0.000
0.000 0.500 0.000
0.500 0.000 0.000
0.500 0.500 0.000
0.000 0.000 0.500
0.000 0.500 0.500
0.500 0.000 0.500
0.500 0.500 0.500
0.212 0.212 0.687
0.219 0.219 0.264
0.279 0.662 0.641
0.338 0.721 0.359
0.662 0.279 0.641
0.721 0.338 0.359
0.781 0.781 0.736
0.788 0.788 0.313
```

Calculated values
formation energy without anion corrections	-2.31	eV/atom
space group	No. 12


# 11
Here is a geometry-optimized BaHgAuF2 structure from the Alexandria database. Energies are from PBE.

The structure in POSCAR format:
```
BaHgAuF2
1.0
5.007 0.000 0.000
0.000 5.007 0.000
0.000 0.000 5.193
Ba Hg Au F
1 1 1 2
Direct
0.000 0.000 0.000
0.500 0.500 0.000
0.500 0.500 0.500
0.000 0.500 0.500
0.500 0.000 0.500
```

Calculated values
formation energy without anion corrections	-1.18	eV/atom
space group	No. 123


# 12
Here is a geometry-optimized CdIrRh2 structure from the Alexandria database. Energies are from PBE.

The structure in POSCAR format:
```
CdIrRh2
1.0
9.290 0.000 0.000
0.000 2.793 0.000
-0.869 0.000 4.783
Cd Ir Rh
2 2 4
Direct
0.000 0.000 0.000
0.500 0.500 0.000
0.241 0.000 0.707
0.741 0.500 0.707
0.000 0.500 0.504
0.257 0.500 0.244
0.500 0.000 0.504
0.757 0.000 0.244
```

Calculated values
energy of formation from the pure elements	59.8	meV/atom
space group	No. 8